A relaxed HoAl3Ru crystal, computed with PBE-GGA.

Cell lengths 6.417, 6.417, 6.417 Å; angles 90.00, 90.00, 90.00 degrees
Atoms (fractional coordinates):
1 Ho 0.500 0.000 0.500
2 Ho 0.000 0.500 0.500
3 Al 0.211 0.789 0.789
4 Al 0.211 0.211 0.211
5 Al 0.789 0.211 0.211
6 Ho 0.500 0.500 0.000
7 Al 0.500 0.500 0.500
8 Al 0.789 0.211 0.789
9 Ru 0.000 0.500 0.000
10 Al 0.789 0.789 0.789
11 Ru 0.500 0.000 0.000
12 Al 0.211 0.789 0.211
13 Ru 0.000 0.000 0.500
14 Al 0.211 0.211 0.789
15 Al 0.789 0.789 0.211

## Properties
Calculated formation energy = -604 meV/atom
Space-group type = Pm-3m
Size of the total moment = 0.00 μB per formula unit
D(E_F) = 2.06 states/eV/f.u.
Volume = 264 Å³/cell